# Li2MgAlSe | Alexandria via LeMat-Bulk | PBE | optimized geometry
# ΔE_f (raw) in eV per formula unit: 2.07
# Total moment in μB/f.u.: 0.00
data_Li2MgAlSe
_cell_length_a 5.036
_cell_length_b 5.036
_cell_length_c 4.991
_cell_angle_alpha 90.00
_cell_angle_beta 90.00
_cell_angle_gamma 90.00
_symmetry_space_group_name_H-M 'P 4/m m m'
_symmetry_Int_Tables_number 123
_symmetry_space_group_name_Hall '-P 4 2'
loop_
_atom_site_label
_atom_site_type_symbol
_atom_site_fract_x
_atom_site_fract_y
_atom_site_fract_z
Li1 Li 0.000 0.500 0.000
Mg1 Mg 0.000 0.000 0.000
Al1 Al 0.000 0.000 0.500
Se1 Se 0.500 0.500 0.500